Crystalline CsZrTl2Bi at its relaxed geometry, computed with PBE.

The structure in POSCAR format:
```
CsZrTl2Bi
1.0
-2.5566 -3.5093 -3.9255
0.6918 -4.5498 3.6168
-5.1178 1.0940 2.3550
Cs Tl Bi Zr
1 2 1 1
Direct
0.5000 0.5000 0.5000
0.0000 0.5000 0.0000
0.5000 0.0000 0.0000
0.0000 0.0000 0.5000
0.0000 0.0000 0.0000
```

Summary:
Energy = -3.66 eV per atom
Energy of formation from the pure elements = -0.0549 eV/atom